An optimized crystal structure of RbMg3Ag, computed with GGA-PBE.

Results
For the formation energy, the calculation gives 1.140 eV/atom. Its crystal system is cubic.

POSCAR file:
```
RbMg3Ag
1.0
-6.3101 -2.5195 1.3123
0.7656 -4.5868 -5.1248
2.7357 -4.5279 4.4612
Rb Ag Mg
1 1 3
Direct
0.0000 0.0000 0.0000 Rb
0.5000 0.5000 0.5000 Ag
0.5000 0.0000 0.0000 Mg
0.0000 0.5000 0.0000 Mg
0.0000 0.0000 0.5000 Mg
```

An optimized crystal structure of Rb2Mg2Ag, computed with GGA-PBE.

Results
For the formation energy, the calculation gives 0.179 eV/atom. Its crystal system is tetragonal.

POSCAR file:
```
Rb2Mg2Ag
1.0
-7.1447 -1.8552 1.8687
2.4964 -6.4911 3.1006
0.7145 3.0044 5.7145
Rb Mg Ag
4 4 2
Direct
0.8172 0.3172 0.5000 Rb
0.6828 0.8172 0.5000 Rb
0.1828 0.6828 0.5000 Rb
0.3172 0.1828 0.5000 Rb
0.8491 0.6509 0.0000 Mg
0.3491 0.8491 0.0000 Mg
0.6509 0.1509 0.0000 Mg
0.1509 0.3491 0.0000 Mg
0.5000 0.5000 0.0000 Ag
0.0000 0.0000 0.0000 Ag
```

An optimized crystal structure of RbMg2Ag2, computed with GGA-PBE.

Results
For the formation energy, the calculation gives 0.004 eV/atom. Its crystal system is tetragonal.

POSCAR file:
```
RbMg2Ag2
1.0
-3.1735 1.6327 8.1318
5.3650 -6.2358 3.3457
2.2145 2.1386 0.4349
Mg Rb Ag
4 2 4
Direct
0.8766 0.6234 0.0000 Mg
0.6234 0.1234 0.0000 Mg
0.3766 0.8766 0.0000 Mg
0.1234 0.3766 0.0000 Mg
0.5000 0.5000 0.0000 Rb
0.0000 0.0000 0.0000 Rb
0.3343 0.1657 0.5000 Ag
0.1657 0.6657 0.5000 Ag
0.8343 0.3343 0.5000 Ag
0.6657 0.8343 0.5000 Ag
```

An optimized crystal structure of RbMgAgRh2, computed with GGA-PBE.

Results
For the formation energy, the calculation gives 1.687 eV/atom. Its crystal system is tetragonal.

POSCAR file:
```
RbMgAgRh2
1.0
4.9005 0.0000 0.0000
0.0000 5.3484 0.0000
0.0000 0.0000 4.9005
Ag Rh Rb Mg
1 2 1 1
Direct
0.0000 0.5000 0.0000 Ag
0.5000 0.0000 0.0000 Rh
0.0000 0.0000 0.5000 Rh
0.0000 0.0000 0.0000 Rb
0.5000 0.5000 0.5000 Mg
```